Crystalline NdTlInTe3 at its relaxed geometry. Source: Alexandria via LeMat-Bulk, functional PBE-GGA.

The space group is P2_1/m (No. 11) and the conventional cell measures 9.354, 4.669 and 10.882 Å, with angles of 90.00, 109.23 and 90.00 degrees. The asymmetric unit holds Nd at (0.181, 0.250, 0.139), Tl at (0.291, 0.750, 0.775), In at (0.398, 0.750, 0.375), Te at (0.037, 0.250, 0.835), Te at (0.273, 0.250, 0.477) and Te at (0.411, 0.750, 0.106).

Its formation energy without anion corrections is -700 meV/atom.